[1]
PmErAl6 | PBE | optimized geometry

The space group is P-6m2 (No. 187) and the conventional cell measures 6.3057, 6.3057 and 4.6627 Å, with angles of 90.00, 90.00 and 120.00 degrees. The distinct sites, in fractional coordinates, are Pm at (0.0000, 0.0000, 0.0000), Er at (0.6667, 0.3333, 0.5000), Al at (0.0400, 0.5200, 0.0000) and Al at (0.1893, 0.3787, 0.5000).

Its formation energy is -0.427 eV/atom. As for the volume: 160.6 Å³/f.u.



[2]
Pm2Er2Al15 | PBE | optimized geometry

The space group is R-3m (No. 166, hexagonal axes) and the conventional cell measures 9.6290, 9.6290 and 14.0009 Å, with angles of 90.00, 90.00 and 120.00 degrees. The distinct sites, in fractional coordinates, are Pm at (0.0000, 0.0000, 0.1393), Er at (0.0000, 0.0000, 0.3918), Al at (0.0000, 0.2898, 0.5000), Al at (0.0000, 0.5000, 0.0000) and Al at (0.0056, 0.5028, 0.6472).

Its formation energy is -0.258 eV/atom. As for the volume: 374.7 Å³/f.u.



[3]
Pm2ErAl4Pt3 | PBE | optimized geometry

The space group is P-4m2 (No. 115) and the conventional cell measures 4.243, 4.243 and 11.533 Å, with angles of 90.00, 90.00 and 90.00 degrees. The distinct sites, in fractional coordinates, are Pm at (0.000, 0.500, 0.228), Er at (0.000, 0.000, 0.500), Al at (0.000, 0.000, 0.000), Al at (0.000, 0.500, 0.667), Al at (0.500, 0.500, 0.000), Pt at (0.000, 0.500, 0.879) and Pt at (0.500, 0.500, 0.500).

Its formation energy is -0.927 eV/atom. As for the volume: 207.7 Å³/f.u.



[4]
Pm2ErAl3Pt4 | PBE | optimized geometry

The space group is P-4m2 (No. 115) and the conventional cell measures 4.352, 4.352 and 10.850 Å, with angles of 90.00, 90.00 and 90.00 degrees. The distinct sites, in fractional coordinates, are Pm at (0.000, 0.500, 0.229), Er at (0.000, 0.000, 0.500), Al at (0.000, 0.500, 0.882), Al at (0.500, 0.500, 0.500), Pt at (0.000, 0.000, 0.000), Pt at (0.000, 0.500, 0.653) and Pt at (0.500, 0.500, 0.000).

Its formation energy is -1.074 eV/atom. As for the volume: 205.5 Å³/f.u.



[5]
PmErAlRh | PBE | optimized geometry

The space group is F-43m (No. 216) and the conventional cell measures 7.122, 7.122 and 7.122 Å, with angles of 90.00, 90.00 and 90.00 degrees. The distinct sites, in fractional coordinates, are Pm at (0.000, 0.000, 0.000), Er at (0.000, 0.000, 0.500), Al at (0.250, 0.250, 0.750) and Rh at (0.250, 0.250, 0.250).

Its formation energy is -0.505 eV/atom. As for the volume: 90.3 Å³/f.u.



[6]
PmErAlRu | PBE | optimized geometry

The space group is F-43m (No. 216) and the conventional cell measures 7.074, 7.074 and 7.074 Å, with angles of 90.00, 90.00 and 90.00 degrees. The distinct sites, in fractional coordinates, are Pm at (0.000, 0.000, 0.000), Er at (0.000, 0.000, 0.500), Al at (0.250, 0.250, 0.750) and Ru at (0.250, 0.250, 0.250).

Its formation energy is -0.296 eV/atom. As for the volume: 88.5 Å³/f.u.



[7]
PmSmErAl | PBE | optimized geometry

The space group is F-43m (No. 216) and the conventional cell measures 7.650, 7.650 and 7.650 Å, with angles of 90.00, 90.00 and 90.00 degrees. The distinct sites, in fractional coordinates, are Pm at (0.000, 0.000, 0.000), Sm at (0.000, 0.000, 0.500), Er at (0.250, 0.250, 0.250) and Al at (0.250, 0.250, 0.750).

Its formation energy is -0.067 eV/atom. As for the volume: 111.9 Å³/f.u.



[8]
PmSmErAl | PBE | optimized geometry

The space group is P4mm (No. 99) and the conventional cell measures 3.534, 3.534 and 9.194 Å, with angles of 90.00, 90.00 and 90.00 degrees. The distinct sites, in fractional coordinates, are Pm at (0.000, 0.000, 0.000), Sm at (0.500, 0.500, 0.702), Er at (0.500, 0.500, 0.281) and Al at (0.000, 0.000, 0.485).

Its formation energy is -0.181 eV/atom. As for the volume: 114.8 Å³/f.u.



[9]
TbPmErAl | PBE | optimized geometry

The space group is F-43m (No. 216) and the conventional cell measures 7.610, 7.610 and 7.610 Å, with angles of 90.00, 90.00 and 90.00 degrees. The distinct sites, in fractional coordinates, are Tb at (0.000, 0.000, 0.000), Pm at (0.000, 0.000, 0.500), Er at (0.250, 0.250, 0.250) and Al at (0.250, 0.250, 0.750).

Its formation energy is -0.065 eV/atom. As for the volume: 110.2 Å³/f.u.



[10]
TbPmErAl | PBE | optimized geometry

The space group is P4mm (No. 99) and the conventional cell measures 3.524, 3.524 and 9.080 Å, with angles of 90.00, 90.00 and 90.00 degrees. The distinct sites, in fractional coordinates, are Tb at (0.000, 0.000, 0.000), Pm at (0.500, 0.500, 0.293), Er at (0.000, 0.000, 0.580) and Al at (0.500, 0.500, 0.787).

Its formation energy is -0.193 eV/atom. As for the volume: 112.7 Å³/f.u.



[11]
PmErThAl | PBE | optimized geometry

The space group is F-43m (No. 216) and the conventional cell measures 7.640, 7.640 and 7.640 Å, with angles of 90.00, 90.00 and 90.00 degrees. The distinct sites, in fractional coordinates, are Pm at (0.000, 0.000, 0.000), Er at (0.250, 0.250, 0.750), Th at (0.250, 0.250, 0.250) and Al at (0.000, 0.000, 0.500).

Its formation energy is 0.015 eV/atom. As for the volume: 111.5 Å³/f.u.



[12]
PmErTmAl | PBE | optimized geometry

The space group is P4mm (No. 99) and the conventional cell measures 3.507, 3.507 and 8.990 Å, with angles of 90.00, 90.00 and 90.00 degrees. The distinct sites, in fractional coordinates, are Pm at (0.000, 0.000, 0.000), Er at (0.500, 0.500, 0.708), Tm at (0.500, 0.500, 0.289) and Al at (0.000, 0.000, 0.498).

Its formation energy is -0.201 eV/atom. As for the volume: 110.6 Å³/f.u.



[13]
PmErTmAl | PBE | optimized geometry

The space group is F-43m (No. 216) and the conventional cell measures 7.565, 7.565 and 7.565 Å, with angles of 90.00, 90.00 and 90.00 degrees. The distinct sites, in fractional coordinates, are Pm at (0.000, 0.000, 0.000), Er at (0.000, 0.000, 0.500), Tm at (0.250, 0.250, 0.750) and Al at (0.250, 0.250, 0.250).

Its formation energy is -0.067 eV/atom. As for the volume: 108.2 Å³/f.u.



[14]
PmYErAl | PBE | optimized geometry

The space group is F-43m (No. 216) and the conventional cell measures 7.616, 7.616 and 7.616 Å, with angles of 90.00, 90.00 and 90.00 degrees. The distinct sites, in fractional coordinates, are Pm at (0.000, 0.000, 0.000), Y at (0.000, 0.000, 0.500), Er at (0.250, 0.250, 0.750) and Al at (0.250, 0.250, 0.250).

Its formation energy is -0.068 eV/atom. As for the volume: 110.4 Å³/f.u.



[15]
PmYErAl | PBE | optimized geometry

The space group is P4mm (No. 99) and the conventional cell measures 3.530, 3.530 and 9.049 Å, with angles of 90.00, 90.00 and 90.00 degrees. The distinct sites, in fractional coordinates, are Pm at (0.000, 0.000, 0.000), Y at (0.500, 0.500, 0.705), Er at (0.500, 0.500, 0.286) and Al at (0.000, 0.000, 0.494).

Its formation energy is -0.203 eV/atom. As for the volume: 112.7 Å³/f.u.



[16]
PmEr2Al2Zn2 | PBE | optimized geometry

The space group is R-3m (No. 166, hexagonal axes) and the conventional cell measures 4.5236, 4.5236 and 27.2931 Å, with angles of 90.00, 90.00 and 120.00 degrees. The distinct sites, in fractional coordinates, are Pm at (0.0000, 0.0000, 0.0000), Er at (0.0000, 0.0000, 0.1289), Al at (0.0000, 0.0000, 0.2595) and Zn at (0.0000, 0.0000, 0.4043).

Its formation energy is -0.309 eV/atom. As for the volume: 161.2 Å³/f.u.



[17]
Pm2ErAl2Zn2 | PBE | optimized geometry

The space group is R-3m (No. 166, hexagonal axes) and the conventional cell measures 4.5110, 4.5110 and 27.8738 Å, with angles of 90.00, 90.00 and 120.00 degrees. The distinct sites, in fractional coordinates, are Pm at (0.0000, 0.0000, 0.1259), Er at (0.0000, 0.0000, 0.0000), Al at (0.0000, 0.0000, 0.2695) and Zn at (0.0000, 0.0000, 0.3919).

Its formation energy is -0.316 eV/atom. As for the volume: 163.7 Å³/f.u.



[18]
PmErAlZn | PBE | optimized geometry

The space group is F-43m (No. 216) and the conventional cell measures 7.252, 7.252 and 7.252 Å, with angles of 90.00, 90.00 and 90.00 degrees. The distinct sites, in fractional coordinates, are Pm at (0.000, 0.000, 0.000), Er at (0.000, 0.000, 0.500), Al at (0.250, 0.250, 0.750) and Zn at (0.250, 0.250, 0.250).

Its formation energy is -0.355 eV/atom. As for the volume: 95.4 Å³/f.u.



[19]
Pr2ErAl | PBE | optimized geometry

The space group is Amm2 (No. 38) and the conventional cell measures 5.371, 7.027 and 12.274 Å, with angles of 90.00, 90.00 and 90.00 degrees. The distinct sites, in fractional coordinates, are Pr at (0.000, 0.000, 0.000), Pr at (0.000, 0.232, 0.235), Pr at (0.500, 0.000, 0.645), Er at (0.500, 0.233, 0.409), Al at (0.000, 0.000, 0.483) and Al at (0.500, 0.000, 0.157).

Its formation energy is -0.166 eV/atom. As for the volume: 115.8 Å³/f.u.



[20]
Pr4ErAl | PBE | optimized geometry

The space group is C2/c (No. 15) and the conventional cell measures 9.053, 14.228 and 6.415 Å, with angles of 90.00, 109.27 and 90.00 degrees. The distinct sites, in fractional coordinates, are Pr at (0.101, 0.184, 0.049), Pr at (0.218, 0.390, 0.374), Er at (0.000, 0.408, 0.750) and Al at (0.000, 0.000, 0.250).

Its formation energy is -0.021 eV/atom. As for the volume: 195.0 Å³/f.u.



[21]
PrErAl2 | PBE | optimized geometry

The space group is Cmcm (No. 63) and the conventional cell measures 4.682, 12.805 and 6.983 Å, with angles of 90.00, 90.00 and 90.00 degrees. The distinct sites, in fractional coordinates, are Pr at (0.000, 0.063, 0.250), Er at (0.000, 0.220, 0.750) and Al at (0.000, 0.399, 0.063).

Its formation energy is -0.369 eV/atom. As for the volume: 104.7 Å³/f.u.



[22]
Pr2ErAl3 | PBE | optimized geometry

The space group is P2/m (No. 10) and the conventional cell measures 5.216, 7.405 and 8.259 Å, with angles of 90.00, 108.35 and 90.00 degrees. The distinct sites, in fractional coordinates, are Pr at (0.000, 0.000, 0.000), Pr at (0.000, 0.500, 0.000), Pr at (0.337, 0.000, 0.674), Er at (0.333, 0.500, 0.665), Al at (0.171, 0.264, 0.342) and Al at (0.500, 0.265, 0.000).

Its formation energy is -0.355 eV/atom. As for the volume: 151.4 Å³/f.u.



[23]
PrEr2Al | PBE | optimized geometry

The space group is R3m (No. 160, hexagonal axes) and the conventional cell measures 3.5777, 3.5777 and 31.6041 Å, with angles of 90.00, 90.00 and 120.00 degrees. The distinct sites, in fractional coordinates, are Pr at (0.0000, 0.0000, 0.0000), Er at (0.0000, 0.0000, 0.5705), Er at (0.0000, 0.0000, 0.7622) and Al at (0.0000, 0.0000, 0.1660).

Its formation energy is -0.068 eV/atom. As for the volume: 116.8 Å³/f.u.



[24]
Pr3ErAl4 | PBE | optimized geometry

The space group is P4/mmm (No. 123) and the conventional cell measures 3.705, 3.705 and 14.906 Å, with angles of 90.00, 90.00 and 90.00 degrees. The distinct sites, in fractional coordinates, are Pr at (0.000, 0.000, 0.000), Pr at (0.000, 0.000, 0.258), Er at (0.000, 0.000, 0.500), Al at (0.500, 0.500, 0.129) and Al at (0.500, 0.500, 0.390).

Its formation energy is -0.353 eV/atom. As for the volume: 204.6 Å³/f.u.



[25]
PrEr12Al6 | PBE | optimized geometry

The space group is R-3m (No. 166, hexagonal axes) and the conventional cell measures 13.3891, 13.3891 and 10.9398 Å, with angles of 90.00, 90.00 and 120.00 degrees. The distinct sites, in fractional coordinates, are Pr at (0.0000, 0.0000, 0.0000), Er at (0.0000, 0.3779, 0.5000), Er at (0.0899, 0.1798, 0.3592) and Al at (0.0292, 0.5146, 0.2710).

Its formation energy is -0.006 eV/atom. As for the volume: 566.1 Å³/f.u.



[26]
PrEr5Al2 | PBE | optimized geometry

The space group is Immm (No. 71) and the conventional cell measures 3.563, 10.145 and 12.478 Å, with angles of 90.00, 90.00 and 90.00 degrees. The distinct sites, in fractional coordinates, are Pr at (0.000, 0.000, 0.000), Er at (0.000, 0.224, 0.362), Er at (0.000, 0.500, 0.000) and Al at (0.000, 0.500, 0.255).

Its formation energy is -0.105 eV/atom. As for the volume: 225.5 Å³/f.u.